No. 1
The following is a PBE-GGA calculation of crystalline NdEr2PdPt2Pb3 at its relaxed geometry, from OQMD.

Lattice parameters (Å, degrees): 3.9964 7.7875 7.7875 120.37 90.00 90.00
Atoms (fractional coordinates):
Er1 0.0000 0.9992 0.4085
Pt1 0.5000 0.3253 0.6686
Pt2 0.5000 0.6686 0.3253
Nd1 0.0000 0.5911 0.5911
Pb1 0.5000 0.2597 0.2597
Er2 0.0000 0.4085 0.9992
Pb2 0.5000 0.0006 0.7408
Pd1 0.0000 0.0063 0.0063
Pb3 0.5000 0.7408 0.0006

Computed properties:
Space-group type = Amm2, No. 38
Uncorrected energy = -5.50 eV/atom

=====

No. 2
The following is a PBE-GGA calculation of crystalline ZrAlFeNi at its relaxed geometry, from OQMD.

Lattice parameters (Å, degrees): 4.4030 4.4030 4.4030 60.00 60.00 60.00
Atoms (fractional coordinates):
Fe1 0.7500 0.7500 0.7500
Ni1 0.5000 0.5000 0.5000
Zr1 0.2500 0.2500 0.2500
Al1 0.0000 0.0000 0.0000

Computed properties:
Space-group type = F-43m, No. 216
Uncorrected energy = -6.66 eV/atom

=====

No. 3
The following is a PBE-GGA calculation of crystalline SrSiHg at its relaxed geometry, from OQMD.

Lattice parameters (Å, degrees): 8.6820 8.6820 4.9577 106.13 106.13 26.11
Atoms (fractional coordinates):
Sr1 0.1385 0.1385 0.3787
Si1 0.2895 0.2895 0.0866
Si2 0.7105 0.7105 0.9134
Hg1 0.5451 0.5451 0.7935
Hg2 0.4549 0.4549 0.2065
Sr2 0.8615 0.8615 0.6213

Computed properties:
Space-group type = C2/m, No. 12
Uncorrected energy = -2.90 eV/atom

=====

No. 4
The following is a PBE-GGA calculation of crystalline Nd4SnGe2 at its relaxed geometry, from OQMD.

Lattice parameters (Å, degrees): 8.0813 8.0807 9.3524 54.65 54.64 70.71
Atoms (fractional coordinates):
Nd1 0.7520 0.6186 0.6366
Sn1 0.7500 0.7500 0.2500
Ge1 0.2480 0.5020 0.3752
Ge2 0.5020 0.2480 0.8749
Nd2 0.6186 0.7520 0.9929
Nd3 0.9982 0.1312 0.7571
Nd4 0.1312 0.9982 0.1135
Sn2 0.0000 0.0000 0.5000
Ge3 0.8748 0.3751 0.0020
Nd5 0.6134 0.2571 0.4980
Ge4 0.3751 0.8748 0.7480
Nd6 0.2571 0.6134 0.6314
Nd7 0.1365 0.4929 0.1188
Nd8 0.4929 0.1365 0.2518

Computed properties:
Space-group type = I-42d, No. 122
Uncorrected energy = -5.39 eV/atom

=====

Question: Which of these has the lowest uncorrected energy?
Answer: ZrAlFeNi

=====

Question: Which of these has the lowest uncorrected energy?
Answer: ZrAlFeNi

=====

Question: Which value of uncorrected energy does entry 4 give?
Answer: -5.39 eV/atom

=====

Question: What is the uncorrected energy in the third record?
Answer: -2.90 eV/atom